# AcPd3 | the Alexandria database | GGA-PBE | relaxed
# * calculated density: 10.876 Mg/m³
# * total moment: 0.0000 μB/atom
# * calculated formation energy: -2.2 eV per formula unit
data_AcPd3
_chemical_formula_sum 'Ac4 Pd12'
_cell_length_a 6.935
_cell_length_b 6.935
_cell_length_c 6.935
_cell_angle_alpha 90.00
_cell_angle_beta 90.00
_cell_angle_gamma 90.00
_symmetry_space_group_name_H-M 'F m -3 m'
_symmetry_Int_Tables_number 225
_symmetry_space_group_name_Hall '-F 4 2 3'
loop_
_atom_site_label
_atom_site_fract_x
_atom_site_fract_y
_atom_site_fract_z
Ac1 0.000 0.000 0.000
Pd1 0.000 0.000 0.500
Pd2 0.250 0.250 0.250



# Pu2Mg3TcN6 | the Alexandria database | GGA-PBE | relaxed
# * calculated density: 8.829 Mg/m³
# * formation energy (no corrections): -0.815 eV/atom
# * total moment: 0.4118 μB/atom
data_Pu2Mg3TcN6
_chemical_formula_sum 'Pu4 Mg6 Tc2 N12'
_cell_length_a 5.528
_cell_length_b 9.590
_cell_length_c 5.578
_cell_angle_alpha 90.00
_cell_angle_beta 109.07
_cell_angle_gamma 90.00
_symmetry_space_group_name_H-M 'C 1 2/m 1'
_symmetry_Int_Tables_number 12
loop_
_symmetry_equiv_pos_as_xyz
'x,y,z'
'-x,-y,-z'
'-x,y,-z'
'x,-y,z'
'x+1/2,y+1/2,z'
'-x+1/2,-y+1/2,-z'
'-x+1/2,y+1/2,-z'
'x+1/2,-y+1/2,z'
loop_
_atom_site_label
_atom_site_fract_x
_atom_site_fract_y
_atom_site_fract_z
Pu1 0.000 0.167 0.000
Mg1 0.000 0.000 0.500
Mg2 0.000 0.340 0.500
Tc1 0.000 0.500 0.000
N1 0.245 0.337 0.246
N2 0.246 0.500 0.754



# NaVW2 | the Alexandria database | GGA-PBE | relaxed
# * calculated density: 9.944 Mg/m³
# * total moment: 0.0000 μB/atom
# * calculated formation energy: 1.6 eV per formula unit
data_NaVW2
_chemical_formula_sum 'Na2 V2 W4'
_cell_length_a 2.708
_cell_length_b 4.396
_cell_length_c 12.392
_cell_angle_alpha 90.00
_cell_angle_beta 90.76
_cell_angle_gamma 90.00
_symmetry_space_group_name_H-M 'P 1 m 1'
_symmetry_Int_Tables_number 6
loop_
_symmetry_equiv_pos_as_xyz
'x,y,z'
'x,-y,z'
loop_
_atom_site_label
_atom_site_fract_x
_atom_site_fract_y
_atom_site_fract_z
Na1 0.000 0.000 0.000
Na2 0.469 0.500 0.826
V1 0.628 0.500 0.167
V2 0.907 0.500 0.356
W1 0.231 0.000 0.252
W2 0.249 0.500 0.567
W3 0.585 0.000 0.459
W4 0.896 0.000 0.663



# GaAsAuSe2 | the Alexandria database | GGA-PBE | relaxed
# * calculated density: 6.043 Mg/m³
# * formation energy (no corrections): 0.528 eV/atom
# * total moment: 0.0000 μB/atom
data_GaAsAuSe2
_chemical_formula_sum 'Ga1 As1 Au1 Se2'
_cell_length_a 5.315
_cell_length_b 5.315
_cell_length_c 4.858
_cell_angle_alpha 90.00
_cell_angle_beta 90.00
_cell_angle_gamma 90.00
_symmetry_space_group_name_H-M 'P 4/m m m'
_symmetry_Int_Tables_number 123
_symmetry_space_group_name_Hall '-P 4 2'
loop_
_atom_site_label
_atom_site_fract_x
_atom_site_fract_y
_atom_site_fract_z
Ga1 0.000 0.000 0.000
As1 0.500 0.500 0.000
Au1 0.500 0.500 0.500
Se1 0.000 0.500 0.500



# SrNi2C | the Alexandria database | GGA-PBE | relaxed
# * calculated density: 6.434 Mg/m³
# * total moment: 0.0003 μB/atom
# * calculated formation energy: 5.6 eV per formula unit
data_SrNi2C
_chemical_formula_sum 'Sr4 Ni8 C4'
_cell_length_a 6.074
_cell_length_b 6.074
_cell_length_c 6.074
_cell_angle_alpha 90.00
_cell_angle_beta 90.00
_cell_angle_gamma 90.00
_symmetry_space_group_name_H-M 'F m -3 m'
_symmetry_Int_Tables_number 225
_symmetry_space_group_name_Hall '-F 4 2 3'
loop_
_atom_site_label
_atom_site_fract_x
_atom_site_fract_y
_atom_site_fract_z
Sr1 0.000 0.000 0.000
Ni1 0.250 0.250 0.250
C1 0.000 0.000 0.500



# SrCeAlO4 | the Alexandria database | GGA-PBE | relaxed
# * calculated density: 5.977 Mg/m³
# * formation energy (no corrections): -3.078 eV/atom
# * total moment: 0.1437 μB/atom
data_SrCeAlO4
_chemical_formula_sum 'Sr2 Ce2 Al2 O8'
_cell_length_a 3.769
_cell_length_b 3.769
_cell_length_c 12.469
_cell_angle_alpha 90.00
_cell_angle_beta 90.00
_cell_angle_gamma 90.00
_symmetry_space_group_name_H-M 'I 4 m m'
_symmetry_Int_Tables_number 107
_symmetry_space_group_name_Hall 'I 4 -2'
loop_
_atom_site_label
_atom_site_fract_x
_atom_site_fract_y
_atom_site_fract_z
Sr1 0.000 0.000 0.000
Ce1 0.000 0.000 0.713
Al1 0.000 0.000 0.359
O1 0.000 0.000 0.196
O2 0.000 0.000 0.523
O3 0.000 0.500 0.351